A PBEsol-optimized structure of Bi2I2Br. Source: Alexandria, functional SCAN.

- V: 31.9 Å³ per atom
- Size of the total moment: 0.000 μB per formula unit
- Final energy: -50.095 eV per atom

Structure (POSCAR):
```
Bi2I2Br
1.0
7.991 0.000 0.000
0.000 7.991 0.000
0.000 0.000 4.991
Bi I Br
4 4 2
direct
0.138 0.362 0.000
0.362 0.862 0.000
0.638 0.138 0.000
0.862 0.638 0.000
0.172 0.672 0.500
0.328 0.172 0.500
0.672 0.828 0.500
0.828 0.328 0.500
0.000 0.000 0.000
0.500 0.500 0.000
```